Record 1
ZnFeO2F5: optimized geometry, GGA+U.

```
ZnFeO2F5
1.0
-3.789 5.558 3.069
3.789 -5.558 3.069
3.789 5.558 -3.069
Zn Fe O F
2 2 4 10
direct
0.000 0.000 0.000 Zn
0.500 0.000 0.500 Zn
0.500 0.000 0.000 Fe
0.500 0.500 0.500 Fe
0.051 0.582 0.469 O
0.386 0.418 0.969 O
0.614 0.582 0.031 O
0.949 0.418 0.531 O
0.168 0.225 0.306 F
0.168 0.862 0.943 F
0.393 0.643 0.750 F
0.419 0.225 0.557 F
0.419 0.862 0.194 F
0.581 0.138 0.806 F
0.581 0.775 0.443 F
0.607 0.357 0.250 F
0.832 0.138 0.057 F
0.832 0.775 0.694 F
```

Its total energy is -4.67 eV per atom. Its symmetry is Imma (74). The value obtained for the density of states at the Fermi level is 0.000 states/eV/cell.

Record 2
ZrFeO2F: optimized geometry, GGA+U.

```
ZrFeO2F
1.0
4.152 0.000 0.000
0.000 4.152 0.000
0.000 0.000 4.197
Zr Fe O F
1 1 2 1
direct
0.000 0.000 0.000 Zr
0.500 0.500 0.500 Fe
0.000 0.500 0.000 O
0.500 0.000 0.000 O
0.000 0.000 0.500 F
```

Its total energy is -7.23 eV per atom. Its symmetry is P4/mmm (123). The value obtained for the density of states at the Fermi level is 2.706 states/eV/cell.

Record 3
ZrFeOF2: optimized geometry, GGA+U.

```
ZrFeOF2
1.0
3.943 0.000 0.000
0.000 3.943 0.000
0.000 0.000 4.036
Zr Fe O F
1 1 1 2
direct
0.000 0.000 0.000 Zr
0.500 0.500 0.500 Fe
0.500 0.500 0.000 O
0.000 0.500 0.500 F
0.500 0.000 0.500 F
```

Its total energy is -5.79 eV per atom. Its symmetry is P4/mmm (123). The value obtained for the density of states at the Fermi level is 2.920 states/eV/cell.

Record 4
ZrFeO2F: optimized geometry, GGA+U.

```
ZrFeO2F
1.0
4.023 0.000 0.000
0.000 4.023 0.000
0.000 0.000 3.742
Zr Fe O F
1 1 2 1
direct
0.000 0.000 0.000 Zr
0.500 0.500 0.500 Fe
0.000 0.500 0.500 O
0.500 0.000 0.500 O
0.500 0.500 0.000 F
```

Its total energy is -6.66 eV per atom. Its symmetry is P4/mmm (123). The value obtained for the density of states at the Fermi level is 3.085 states/eV/cell.

Record 5
ZrFeOF2: optimized geometry, GGA+U.

```
ZrFeOF2
1.0
4.360 0.000 0.000
0.000 4.360 0.000
0.000 0.000 4.066
Zr Fe O F
1 1 1 2
direct
0.000 0.000 0.000 Zr
0.500 0.500 0.500 Fe
0.000 0.000 0.500 O
0.000 0.500 0.000 F
0.500 0.000 0.000 F
```

Its total energy is -6.54 eV per atom. Its symmetry is P4/mmm (123). The value obtained for the density of states at the Fermi level is 2.424 states/eV/cell.

Record 6
FeOs2F: optimized geometry, GGA+U.

```
FeOs2F
1.0
0.000 2.971 2.971
2.971 0.000 2.971
2.971 2.971 0.000
Fe Os F
1 2 1
direct
0.000 0.000 0.000 Fe
0.250 0.250 0.250 Os
0.750 0.750 0.750 Os
0.500 0.500 0.500 F
```

Its total energy is -6.60 eV per atom. Its symmetry is Fm-3m (225). The value obtained for the density of states at the Fermi level is 5.247 states/eV/cell.